(1)
Compound: Cs2TlS
Source: Alexandria via LeMat-Bulk
Functional: PBE
Structure: optimized geometry

Structure (POSCAR):
```
Cs2TlS
1.0
-4.9148 2.3587 2.8134
-5.2049 0.8650 -3.1295
-4.8817 -3.5398 1.1281
Tl Cs S
1 2 1
Direct
0.5000 0.5000 0.5000 Tl
0.7500 0.7500 0.7500 Cs
0.2500 0.2500 0.2500 Cs
0.0000 0.0000 0.0000 S
```

DFT total energy ... -2.345 eV/atom
Formation energy from raw total energies ... -0.295 eV per atom
D(E_F) ... 3.3 states/eV/cell
SG ... Fm-3m (225)



(2)
Compound: Cs2TlS
Source: Alexandria via LeMat-Bulk
Functional: PBE
Structure: optimized geometry

Structure (POSCAR):
```
Cs2TlS
1.0
11.5822 0.0000 0.0000
0.0000 11.5822 0.0000
5.7911 5.7911 3.1780
Cs Tl S
4 2 2
Direct
0.8750 0.7494 0.7500 Cs
0.3750 0.5006 0.7500 Cs
0.2506 0.6250 0.2500 Cs
0.4994 0.1250 0.2500 Cs
0.0000 0.0000 0.0000 Tl
0.7500 0.2500 0.5000 Tl
0.5000 0.5000 0.0000 S
0.2500 0.7500 0.5000 S
```

DFT total energy ... -2.460 eV/atom
Formation energy from raw total energies ... -0.410 eV per atom
D(E_F) ... 2.5 states/eV/cell
SG ... I-42d (122)



What is the formation energy from raw total energies in the second record?
-0.410 eV per atom